Arrangement 1

## TcMoI2O (PBE+U)

Data for crystalline TcMoI2O at its relaxed geometry.

Output
**DOS at the Fermi energy**: 0.34 states/eV/atom
**Calculated volume**: 24.3 Å³ per atom

a = 5.676 Å, b = 5.676 Å, c = 3.771 Å
α = 90.00°, β = 90.00°, γ = 90.00°
Fractional positions:
1 I 0.000 0.500 0.000
2 I 0.500 0.000 0.000
3 Mo 0.500 0.500 0.500
4 Tc 0.000 0.000 0.000
5 O 0.000 0.000 0.500

***

Arrangement 2

## TcMoI2O (PBE+U)

Data for crystalline TcMoI2O at its relaxed geometry.

Output
**DOS at the Fermi energy**: 0.63 states/eV/atom
**Calculated volume**: 27.2 Å³ per atom

a = 5.922 Å, b = 5.922 Å, c = 3.883 Å
α = 90.00°, β = 90.00°, γ = 90.00°
Fractional positions:
1 I 0.000 0.500 0.000
2 I 0.500 0.000 0.000
3 Mo 0.000 0.000 0.000
4 Tc 0.500 0.500 0.500
5 O 0.000 0.000 0.500

***

Most stable structure - arrangement 1; separation to the second - 31.5 kJ/mol of atoms.